Material: CoAgRhF6
Method: DFT, PBE with a Hubbard U
State: relaxed Values from VASP.

## Properties
Space group: P312, No. 149
VASP energy, eV/f.u.: -41.10
N(E_F), states/eV per atom: 0.00

Geometry as Quantum ESPRESSO input:
```
&SYSTEM
  ibrav = 0, nat = 9, ntyp = 4
/
ATOMIC_SPECIES
Co 58.93 Co.upf
Ag 107.87 Ag.upf
Rh 102.91 Rh.upf
F 19.00 F.upf
CELL_PARAMETERS angstrom
-1.3837 4.3733 -2.9022
-5.1170 1.8090 0.0876
1.1458 3.0433 4.0385
ATOMIC_POSITIONS crystal
Co 0.6666 0.6666 0.5000
Ag 0.0000 0.0000 0.0000
Rh 0.3333 0.3333 0.5000
F 0.0069 0.3541 0.2932
F 0.3541 0.0069 0.7068
F 0.6389 0.3543 0.7068
F 0.0067 0.6391 0.7067
F 0.3542 0.6389 0.2932
F 0.6391 0.0068 0.2932
```